No. 1
MnAl2Ge after structural relaxation, computed with GGA-PBE.

Structure (CIF):
```
data_MnAl2Ge
_chemical_formula_sum 'Mn1 Al2 Ge1'
_cell_length_a 2.9276
_cell_length_b 2.9276
_cell_length_c 8.4774
_cell_angle_alpha 80.06
_cell_angle_beta 80.06
_cell_angle_gamma 60.00
_space_group_name_H-M_alt 'P 1'
_space_group_IT_number 1
loop_
_space_group_symop_operation_xyz
'x,y,z'
loop_
_atom_site_label
_atom_site_fract_x
_atom_site_fract_y
_atom_site_fract_z
Ge1 0.5000 0.5000 0.5000
Al1 0.7443 0.7443 0.7671
Mn1 0.0000 0.0000 0.0000
Al2 0.2557 0.2557 0.2329
```

Calculated values
The calculation puts the formation energy at 0.025 eV/atom. Its space group is R-3m, No. 166. Its crystal system is trigonal.

No. 2
Ce3ZnIn after structural relaxation, computed with GGA-PBE.

Structure (CIF):
```
data_Ce3ZnIn
_chemical_formula_sum 'Ce6 Zn2 In2'
_cell_length_a 3.2263
_cell_length_b 9.4368
_cell_length_c 9.4368
_cell_angle_alpha 67.64
_cell_angle_beta 90.00
_cell_angle_gamma 90.00
_space_group_name_H-M_alt 'P 1'
_space_group_IT_number 1
loop_
_space_group_symop_operation_xyz
'x,y,z'
loop_
_atom_site_label
_atom_site_fract_x
_atom_site_fract_y
_atom_site_fract_z
Ce1 0.0000 0.6703 0.1550
Ce2 0.0000 0.8450 0.3297
Zn1 0.5000 0.0000 0.5000
In1 0.5000 0.0000 0.0000
Zn2 0.5000 0.5000 0.0000
Ce3 0.0000 0.3297 0.8450
In2 0.5000 0.5000 0.5000
Ce4 0.0000 0.7154 0.7154
Ce5 0.0000 0.1550 0.6703
Ce6 0.0000 0.2846 0.2846
```

Calculated values
The relative energy among the computed polymorphs is 0.034 eV/atom. The calculation puts the formation energy at -0.108 eV/atom. Its space group is Cmmm, No. 65. Its crystal system is orthorhombic.

No. 3
OsSeSBr2 after structural relaxation, computed with GGA-PBE.

Structure (CIF):
```
data_OsSeSBr2
_chemical_formula_sum 'Os1 Se1 S1 Br2'
_cell_length_a 5.0272
_cell_length_b 5.0272
_cell_length_c 4.9845
_cell_angle_alpha 90.00
_cell_angle_beta 90.00
_cell_angle_gamma 90.00
_space_group_name_H-M_alt 'P 1'
_space_group_IT_number 1
loop_
_space_group_symop_operation_xyz
'x,y,z'
loop_
_atom_site_label
_atom_site_fract_x
_atom_site_fract_y
_atom_site_fract_z
Br1 0.0000 0.5000 0.0000
S1 0.0000 0.0000 0.0000
Se1 0.0000 0.0000 0.5000
Os1 0.5000 0.5000 0.5000
Br2 0.5000 0.0000 0.0000
```

Calculated values
The relative energy among the computed polymorphs is 0.731 eV/atom. The uncorrected formation energy comes out at 1559 meV/atom. Its space group is P4/mmm, No. 123. Its crystal system is tetragonal.

One value per record, in order, for total DFT energy (no corrections): -21.17 -44.71 -14.39 eV for the cell shown.